The following is a DFT calculation (PBE+U) of a relaxed LiAsWO5 crystal.

Output
The calculation puts the total energy at -209.74 eV/cell. The total magnetic moment comes out at 2.0 μB/f.u.

abc: 7.696 8.404 7.529
angles: 90.00 119.55 90.00
Space group C2/c (No. 15)
One atom of each set of equivalent atoms:
Li 0.000 0.190 0.250 [4 per cell]
As 0.000 0.140 0.750 [4 per cell]
W 0.000 0.500 0.000 [4 per cell]
O 0.000 0.249 0.557 [8 per cell]
O 0.000 0.418 0.250 [4 per cell]
O 0.190 0.001 0.344 [8 per cell]